No. 1
Here is a relaxed structure of Pm8SiP3S4 from the Alexandria database. Energies are from GGA-PBE.

Values from the calculation:
Total moment (Bohr magnetons per cell): 0.000
Calculated density (g/cm3): 6.0
Formation energy without anion corrections (eV per formula unit): -27.950

Cell: 8.2166 8.2166 20.1199 Å, 90.00 90.00 120.00°
Last column: nearest neighbours and their distance in Å.
Space group R-3m (No. 166, hexagonal axes)
Symmetry-distinct sites (fractional):
Pm  0.0000  0.0000  0.2474 [6 per cell]  3 P 2.87, 3 S 2.94
Pm  0.0009  0.5004  0.7518 [18 per cell]  2 P 2.88, 1 Si 2.89, 3 S 2.92-2.93
Si  0.0000  0.0000  0.5000 [3 per cell]  6 Pm 2.89
P  0.0000  0.5000  0.5000 [9 per cell]  6 Pm 2.87-2.88
S  0.0000  0.0000  0.0000 [3 per cell]  6 Pm 2.92
S  0.0000  0.5000  0.0000 [9 per cell]  6 Pm 2.93-2.94

No. 2
Here is a relaxed structure of PmSmPS from the Alexandria database. Energies are from GGA-PBE.

Values from the calculation:
Total moment (Bohr magnetons per cell): 0.000
Calculated density (g/cm3): 6.2
Formation energy without anion corrections (eV per formula unit): -7.446

Cell: 4.0704 4.0704 20.0482 Å, 90.00 90.00 120.00°
Last column: nearest neighbours and their distance in Å.
Space group R3m (No. 160, hexagonal axes)
Symmetry-distinct sites (fractional):
Pm  0.0000  0.0000  0.0000 [3 per cell]  3 P 2.86, 3 S 2.92
Sm  0.0000  0.0000  0.5055 [3 per cell]  3 P 2.85, 3 S 2.91
P  0.0000  0.0000  0.2522 [3 per cell]  3 Sm 2.85, 3 Pm 2.86
S  0.0000  0.0000  0.7533 [3 per cell]  3 Sm 2.91, 3 Pm 2.92

No. 3
Here is a relaxed structure of Pm6SnP2S3 from the Alexandria database. Energies are from GGA-PBE.

Values from the calculation:
Total moment (Bohr magnetons per cell): 0.000
Calculated density (g/cm3): 6.2
Formation energy without anion corrections (eV per formula unit): -19.913

Cell: 18.1099 4.1380 8.3455 Å, 90.00 102.97 90.00°
Last column: nearest neighbours and their distance in Å.
Space group C2/m (No. 12)
Symmetry-distinct sites (fractional):
Pm  0.0023  0.0000  0.2671 [4 per cell]  3 S 2.85-2.97, 1 P 2.93, 2 Sn 3.03
Pm  0.1696  0.5000  0.5787 [4 per cell]  3 P 2.87-2.89, 3 S 2.97-2.99
Pm  0.1725  0.5000  0.0939 [4 per cell]  3 S 2.85-2.99, 2 P 2.90, 1 Sn 3.05
Sn  0.0000  0.5000  0.0000 [2 per cell]  6 Pm 3.03-3.05
P  0.1680  0.0000  0.3356 [4 per cell]  6 Pm 2.87-2.93
S  0.0000  0.5000  0.5000 [2 per cell]  6 Pm 2.85-2.99
S  0.1658  0.0000  0.8316 [4 per cell]  6 Pm 2.85-2.99

So what do the calculations give for Fermi-level density of states? Going down the list: 0.267; 0.389; 0.379 states/eV per atom.